# 1
Here is an optimized crystal structure of LiCaSeBrF from the Alexandria database. Energies are from GGA-PBE.

a = 5.918 Å, b = 3.532 Å, c = 12.943 Å
α = 90.00°, β = 114.09°, γ = 90.00°
Fractional positions:
Se (0.122, 0.500, 0.355)
Se (0.122, 0.000, 0.855)
Ca (0.651, 0.000, 0.889)
Ca (0.651, 0.500, 0.389)
F (0.739, 0.000, 0.503)
F (0.739, 0.500, 0.003)
Br (0.489, 0.500, 0.687)
Br (0.489, 0.000, 0.187)
Li (0.764, 0.000, 0.652)
Li (0.764, 0.500, 0.152)

Properties
Space-group type ... Cm (8)
ΔE to the lowest computed polymorph ... 18 meV per atom
Energy relative to the elements, uncorrected ... -1937 meV/atom
Density ... 3.02 g/cm3
Total moment ... 0.567 Bohr magnetons per cell

=====

# 2
Here is an optimized crystal structure of LaMgBN2 from the Alexandria database. Energies are from GGA-PBE.

a = 4.115 Å, b = 4.152 Å, c = 4.115 Å
α = 90.00°, β = 90.00°, γ = 90.00°
Fractional positions:
La (0.500, 0.500, 0.500)
N (0.500, 0.000, 0.000)
N (0.000, 0.000, 0.500)
B (0.000, 0.500, 0.000)
Mg (0.000, 0.000, 0.000)

Properties
Space-group type ... P4/mmm (123)
Energy relative to the elements, uncorrected ... 605 meV/atom
Density ... 4.77 g/cm3
Total moment ... 0.000 Bohr magnetons per cell

=====

# 3
Here is an optimized crystal structure of ZnIn2Cl from the Alexandria database. Energies are from GGA-PBE.

a = 3.392 Å, b = 3.392 Å, c = 9.702 Å
α = 90.00°, β = 90.00°, γ = 116.38°
Fractional positions:
Zn (0.000, 0.000, 0.521)
In (0.500, 0.500, 0.290)
In (0.000, 0.000, 0.998)
Cl (0.500, 0.500, 0.691)

Properties
Space-group type ... Cmm2 (35)
ΔE to the lowest computed polymorph ... 47 meV per atom
Energy relative to the elements, uncorrected ... -214 meV/atom
Density ... 5.49 g/cm3
Total moment ... 0.000 Bohr magnetons per cell

=====

# 4
Here is an optimized crystal structure of CrAs3Au from the Alexandria database. Energies are from GGA-PBE.

a = 4.640 Å, b = 4.640 Å, c = 4.640 Å
α = 90.00°, β = 90.00°, γ = 90.00°
Fractional positions:
Cr (0.000, 0.000, 0.000)
Au (0.500, 0.500, 0.500)
As (0.000, 0.000, 0.500)
As (0.500, 0.000, 0.000)
As (0.000, 0.500, 0.000)

Properties
Space-group type ... Pm-3m (221)
ΔE to the lowest computed polymorph ... 0 meV per atom
Density ... 7.87 g/cm3
Total moment ... 0.000 Bohr magnetons per cell

=====

# 5
Here is an optimized crystal structure of Sm2In3Au4 from the Alexandria database. Energies are from GGA-PBE.

a = 4.969 Å, b = 4.961 Å, c = 9.653 Å
α = 90.23°, β = 89.97°, γ = 59.95°
Fractional positions:
In (0.668, 0.665, 0.583)
In (0.000, 0.000, 0.000)
In (0.332, 0.335, 0.417)
Au (0.667, 0.667, 0.903)
Au (0.999, 0.001, 0.345)
Au (0.001, 0.999, 0.655)
Au (0.333, 0.333, 0.097)
Sm (0.334, 0.333, 0.783)
Sm (0.666, 0.667, 0.217)

Properties
Space-group type ... C2/m (12)
Total energy ... -4.00 eV/atom
Density ... 11.55 g/cm3
Total moment ... 0.000 Bohr magnetons per cell

=====

# 6
Here is an optimized crystal structure of Ce2NdDy6Tm3 from the Alexandria database. Energies are from GGA-PBE.

a = 6.122 Å, b = 6.122 Å, c = 11.719 Å
α = 95.00°, β = 95.00°, γ = 120.00°
Fractional positions:
Dy (0.421, 0.084, 0.252)
Dy (0.916, 0.579, 0.748)
Dy (0.579, 0.916, 0.748)
Dy (0.748, 0.748, 0.252)
Dy (0.084, 0.421, 0.252)
Dy (0.252, 0.252, 0.748)
Tm (0.500, 0.500, 0.500)
Tm (0.834, 0.166, 0.500)
Tm (0.166, 0.834, 0.500)
Ce (0.333, 0.667, 0.000)
Ce (0.667, 0.333, 0.000)
Nd (0.000, 0.000, 0.000)

Properties
Space-group type ... C2/m (12)
Total energy ... -4.75 eV/atom
Density ... 8.45 g/cm3
Total moment ... 1.836 Bohr magnetons per cell

=====

Copy entry 5 word for word.
Here is an optimized crystal structure of Sm2In3Au4 from the Alexandria database. Energies are from GGA-PBE.

a = 4.969 Å, b = 4.961 Å, c = 9.653 Å
α = 90.23°, β = 89.97°, γ = 59.95°
Fractional positions:
In (0.668, 0.665, 0.583)
In (0.000, 0.000, 0.000)
In (0.332, 0.335, 0.417)
Au (0.667, 0.667, 0.903)
Au (0.999, 0.001, 0.345)
Au (0.001, 0.999, 0.655)
Au (0.333, 0.333, 0.097)
Sm (0.334, 0.333, 0.783)
Sm (0.666, 0.667, 0.217)

Properties
Space-group type ... C2/m (12)
Total energy ... -4.00 eV/atom
Density ... 11.55 g/cm3
Total moment ... 0.000 Bohr magnetons per cell